[1]
VASP calculation (GGA-PBE) on a geometry-optimized CrIr2Cl structure.

The calculation puts the formation energy without anion corrections at 0.71 eV/atom. The energy is -6.588 eV/atom. The value obtained for the volume is 14.4 Å³/atom.

The structure belongs to space group Imm2 (No. 44); the cell edges are 2.815, 4.552 and 9.003 Å and the angles 90.00°, 90.00° and 90.00°. The inequivalent atoms are Cr at (0.000, 0.000, 0.000), Ir at (0.000, 0.000, 0.528), Ir at (0.000, 0.500, 0.745) and Cl at (0.000, 0.500, 0.292).


[2]
VASP calculation (GGA-PBE) on a geometry-optimized CrIr2Cl structure.

The calculation puts the formation energy without anion corrections at 0.38 eV/atom. The energy is -6.918 eV/atom. The value obtained for the volume is 16.0 Å³/atom.

The structure belongs to space group C2/m (No. 12); the cell edges are 11.924, 2.760 and 4.154 Å and the angles 90.00°, 110.13° and 90.00°. The inequivalent atoms are Cr at (0.000, 0.000, 0.000), Ir at (0.212, 0.500, 0.212) and Cl at (0.000, 0.500, 0.500).


[3]
VASP calculation (GGA-PBE) on a geometry-optimized Cr3IrCl structure.

The calculation puts the formation energy without anion corrections at 0.98 eV/atom. The energy is -6.937 eV/atom. The value obtained for the volume is 22.7 Å³/atom.

The structure belongs to space group Pm-3m (No. 221); the cell edges are 4.840, 4.840 and 4.840 Å and the angles 90.00°, 90.00° and 90.00°. The inequivalent atoms are Cr at (0.000, 0.000, 0.500), Ir at (0.000, 0.000, 0.000) and Cl at (0.500, 0.500, 0.500).


[4]
VASP calculation (GGA-PBE) on a geometry-optimized CrIr2Cl structure.

The calculation puts the formation energy without anion corrections at 0.88 eV/atom. The energy is -6.417 eV/atom. The value obtained for the volume is 14.9 Å³/atom.

The structure belongs to space group Fm-3m (No. 225); the cell edges are 6.207, 6.207 and 6.207 Å and the angles 90.00°, 90.00° and 90.00°. The inequivalent atoms are Cr at (0.000, 0.000, 0.000), Ir at (0.250, 0.250, 0.250) and Cl at (0.000, 0.000, 0.500).